Compound: Ti2GeP
Source: Alexandria
Functional: PBE
Structure: relaxed

The structure in POSCAR format:
```
Ti2GeP
1.0
-2.848 2.848 5.676
2.848 -2.848 5.676
2.848 2.848 -5.676
Ti Ge P
4 2 2
direct
0.109 0.625 0.984
0.375 0.359 0.484
0.641 0.125 0.016
0.875 0.891 0.516
0.250 0.750 0.500
0.500 0.500 0.000
0.000 0.000 0.000
0.750 0.250 0.500
```

## Properties
As for the space group: No. 122. The distance to the lowest polymorph of the same formula comes out at 755.4 meV per atom. For the formation energy, the calculation gives -0.040 eV/atom.